Arrangement one

The following is a DFT calculation (GGA-PBEsol) of an optimized crystal structure of BiIr2N.

Unit cell a=4.397 b=4.397 c=4.397 alpha=60.00 beta=60.00 gamma=60.00
Fractional coordinates of all 4 atoms:
N 0.000 0.000 0.000
Ir 0.750 0.750 0.750
Ir 0.250 0.250 0.250
Bi 0.500 0.500 0.500


Arrangement two

The following is a DFT calculation (GGA-PBEsol) of an optimized crystal structure of BiIr2N.

Unit cell a=4.981 b=4.981 c=6.744 alpha=111.67 beta=111.67 gamma=90.00
Fractional coordinates of all 8 atoms:
Ir 0.125 0.262 0.750
Ir 0.625 0.488 0.750
Ir 0.512 0.875 0.250
Ir 0.738 0.375 0.250
Bi 0.000 0.000 0.000
Bi 0.250 0.750 0.500
N 0.500 0.500 0.000
N 0.750 0.250 0.500


Tell me which of them is the least stable. Sure, it is arrangement one.


Arrangement one

The following is a DFT calculation (GGA-PBEsol) of an optimized crystal structure of K3Bi.

Unit cell a=6.110 b=6.110 c=10.871 alpha=90.00 beta=90.00 gamma=120.00
Fractional coordinates of all 8 atoms:
K 0.667 0.333 0.419
K 0.667 0.333 0.081
K 0.333 0.667 0.919
K 0.000 0.000 0.750
K 0.000 0.000 0.250
K 0.333 0.667 0.581
Bi 0.333 0.667 0.250
Bi 0.667 0.333 0.750


Arrangement two

The following is a DFT calculation (GGA-PBEsol) of an optimized crystal structure of K3Bi.

Unit cell a=6.042 b=6.042 c=6.042 alpha=60.00 beta=60.00 gamma=60.00
Fractional coordinates of all 4 atoms:
K 0.250 0.250 0.250
K 0.750 0.750 0.750
K 0.500 0.500 0.500
Bi 0.000 0.000 0.000


Tell me which of them is the least stable. Sure, it is arrangement two.


Arrangement one

The following is a DFT calculation (GGA-PBEsol) of an optimized crystal structure of KNa2Bi2.

Unit cell a=5.115 b=5.115 c=7.676 alpha=109.46 beta=109.46 gamma=90.00
Fractional coordinates of all 5 atoms:
Na 0.750 0.250 0.500
Na 0.250 0.750 0.500
Bi 0.607 0.607 0.215
Bi 0.393 0.393 0.785
K 0.000 0.000 0.000


Arrangement two

The following is a DFT calculation (GGA-PBEsol) of an optimized crystal structure of KNa2Bi2.

Unit cell a=3.392 b=9.703 c=9.703 alpha=90.00 beta=90.00 gamma=90.00
Fractional coordinates of all 10 atoms:
Na 0.500 0.372 0.128
Na 0.500 0.628 0.872
Na 0.500 0.872 0.372
Na 0.500 0.128 0.628
Bi 0.000 0.665 0.165
Bi 0.000 0.835 0.665
Bi 0.000 0.335 0.835
Bi 0.000 0.165 0.335
K 0.000 0.500 0.500
K 0.000 0.000 0.000


Tell me which of them is the least stable. Sure, it is arrangement one.


Arrangement one

The following is a DFT calculation (GGA-PBEsol) of an optimized crystal structure of KBi2Sb2.

Unit cell a=4.716 b=4.716 c=8.301 alpha=106.50 beta=106.50 gamma=90.00
Fractional coordinates of all 5 atoms:
Sb 0.595 0.595 0.190
Sb 0.405 0.405 0.810
K 0.000 0.000 0.000
Bi 0.750 0.250 0.500
Bi 0.250 0.750 0.500


Arrangement two

The following is a DFT calculation (GGA-PBEsol) of an optimized crystal structure of KBi2Sb2.

Unit cell a=4.060 b=8.809 c=8.809 alpha=90.00 beta=90.00 gamma=90.00
Fractional coordinates of all 10 atoms:
Sb 0.500 0.837 0.337
Sb 0.500 0.337 0.163
Sb 0.500 0.163 0.663
Sb 0.500 0.663 0.837
Bi 0.000 0.132 0.368
Bi 0.000 0.868 0.632
Bi 0.000 0.368 0.868
Bi 0.000 0.632 0.132
K 0.000 0.000 0.000
K 0.000 0.500 0.500


Tell me which of them is the least stable. Sure, it is arrangement one.


Arrangement one

The following is a DFT calculation (GGA-PBEsol) of an optimized crystal structure of KY2Bi.

Unit cell a=5.492 b=5.492 c=5.492 alpha=60.00 beta=60.00 gamma=60.00
Fractional coordinates of all 4 atoms:
Y 0.250 0.250 0.250
Y 0.750 0.750 0.750
K 0.000 0.000 0.000
Bi 0.500 0.500 0.500


Arrangement two

The following is a DFT calculation (GGA-PBEsol) of an optimized crystal structure of KY2Bi.

Unit cell a=6.020 b=6.020 c=11.521 alpha=105.15 beta=105.15 gamma=90.00
Fractional coordinates of all 8 atoms:
Bi 0.250 0.750 0.500
Bi 0.000 0.000 0.000
Y 0.125 0.875 0.250
Y 0.625 0.875 0.750
Y 0.125 0.375 0.250
Y 0.125 0.875 0.750
K 0.500 0.500 0.000
K 0.750 0.250 0.500


Tell me which of them is the least stable. Sure, it is arrangement two.


Arrangement one

The following is a DFT calculation (GGA-PBEsol) of an optimized crystal structure of LiMgBi3.

Unit cell a=5.152 b=5.152 c=5.152 alpha=90.00 beta=90.00 gamma=90.00
Fractional coordinates of all 5 atoms:
Li 0.000 0.000 0.000
Bi 0.000 0.000 0.500
Bi 0.000 0.500 0.000
Bi 0.500 0.000 0.000
Mg 0.500 0.500 0.500


Arrangement two

The following is a DFT calculation (GGA-PBEsol) of an optimized crystal structure of LiMgBi3.

Unit cell a=5.493 b=5.493 c=5.493 alpha=90.00 beta=90.00 gamma=90.00
Fractional coordinates of all 5 atoms:
Bi 0.000 0.500 0.000
Bi 0.000 0.000 0.500
Bi 0.500 0.000 0.000
Li 0.500 0.500 0.500
Mg 0.000 0.000 0.000


Tell me which of them is the least stable. Sure, it is arrangement two.


Arrangement one

The following is a DFT calculation (GGA-PBEsol) of an optimized crystal structure of NaLi2Bi2.

Unit cell a=4.616 b=4.616 c=6.963 alpha=109.36 beta=109.36 gamma=90.00
Fractional coordinates of all 5 atoms:
Li 0.250 0.750 0.500
Li 0.750 0.250 0.500
Na 0.000 0.000 0.000
Bi 0.618 0.618 0.236
Bi 0.382 0.382 0.764


Arrangement two

The following is a DFT calculation (GGA-PBEsol) of an optimized crystal structure of NaLi2Bi2.

Unit cell a=3.234 b=8.706 c=8.706 alpha=90.00 beta=90.00 gamma=90.00
Fractional coordinates of all 10 atoms:
Li 0.500 0.374 0.126
Li 0.500 0.874 0.374
Li 0.500 0.126 0.626
Li 0.500 0.626 0.874
Bi 0.000 0.667 0.167
Bi 0.000 0.833 0.667
Bi 0.000 0.167 0.333
Bi 0.000 0.333 0.833
Na 0.000 0.500 0.500
Na 0.000 0.000 0.000


Tell me which of them is the least stable. Sure, it is arrangement one.


Arrangement one

The following is a DFT calculation (GGA-PBEsol) of an optimized crystal structure of Li4Bi2O5.

Unit cell a=4.553 b=8.759 c=13.613 alpha=90.00 beta=90.00 gamma=90.00
Fractional coordinates of all 44 atoms:
O 0.000 0.860 0.250
O 0.520 0.997 0.118
O 0.500 0.360 0.750
O 0.020 0.497 0.882
O 0.980 0.497 0.618
O 0.000 0.140 0.750
O 0.520 0.003 0.618
O 0.020 0.503 0.382
O 0.480 0.003 0.882
O 0.996 0.852 0.470
O 0.500 0.640 0.250
O 0.004 0.852 0.030
O 0.480 0.997 0.382
O 0.496 0.648 0.030
O 0.504 0.648 0.470
O 0.004 0.148 0.530
O 0.504 0.352 0.970
O 0.496 0.352 0.530
O 0.980 0.503 0.118
O 0.996 0.148 0.970
Li 0.943 0.362 0.991
Li 0.557 0.862 0.491
Li 0.557 0.138 0.991
Li 0.750 0.750 0.127
Li 0.443 0.862 0.009
Li 0.250 0.750 0.373
Li 0.750 0.250 0.627
Li 0.000 0.615 0.250
Li 0.943 0.638 0.491
Li 0.000 0.385 0.750
Li 0.057 0.638 0.009
Li 0.250 0.250 0.873
Li 0.443 0.138 0.509
Li 0.057 0.362 0.509
Li 0.500 0.885 0.250
Li 0.500 0.115 0.750
Bi 0.532 0.458 0.372
Bi 0.468 0.458 0.128
Bi 0.032 0.958 0.628
Bi 0.032 0.042 0.128
Bi 0.468 0.542 0.628
Bi 0.532 0.542 0.872
Bi 0.968 0.958 0.872
Bi 0.968 0.042 0.372


Arrangement two

The following is a DFT calculation (GGA-PBEsol) of an optimized crystal structure of Li4Bi2O5.

Unit cell a=5.494 b=7.522 c=7.683 alpha=89.70 beta=70.53 gamma=71.04
Fractional coordinates of all 22 atoms:
Li 0.270 0.254 0.589
Li 0.123 0.670 0.670
Li 0.158 0.997 0.349
Li 0.730 0.746 0.411
Li 0.132 0.319 0.970
Li 0.877 0.330 0.330
Li 0.868 0.681 0.030
Li 0.842 0.003 0.651
O 0.564 0.887 0.242
O 0.436 0.113 0.758
O 0.971 0.490 0.814
O 0.037 0.107 0.135
O 0.029 0.510 0.186
O 0.966 0.213 0.537
O 0.963 0.893 0.865
O 0.485 0.343 0.377
O 0.034 0.787 0.463
O 0.515 0.657 0.623
Bi 0.651 0.115 0.117
Bi 0.349 0.885 0.883
Bi 0.668 0.414 0.752
Bi 0.332 0.586 0.248


Tell me which of them is the least stable. Sure, it is arrangement one.


Arrangement one

The following is a DFT calculation (GGA-PBEsol) of an optimized crystal structure of Li2BiO3.

Unit cell a=5.704 b=5.709 c=9.356 alpha=90.00 beta=90.00 gamma=90.00
Fractional coordinates of all 24 atoms:
O 0.287 0.586 0.576
O 0.750 0.410 0.750
O 0.287 0.086 0.424
O 0.250 0.090 0.750
O 0.213 0.086 0.076
O 0.713 0.914 0.576
O 0.750 0.910 0.250
O 0.787 0.914 0.924
O 0.250 0.590 0.250
O 0.213 0.586 0.924
O 0.713 0.414 0.424
O 0.787 0.414 0.076
Li 0.250 0.754 0.750
Li 0.000 0.500 0.500
Li 0.500 0.000 0.000
Li 0.000 0.000 0.500
Li 0.500 0.500 0.000
Li 0.750 0.246 0.250
Li 0.750 0.746 0.750
Li 0.250 0.254 0.250
Bi 0.500 0.750 0.400
Bi 0.000 0.250 0.900
Bi 0.500 0.250 0.600
Bi 0.000 0.750 0.100


Arrangement two

The following is a DFT calculation (GGA-PBEsol) of an optimized crystal structure of Li2BiO3.

Unit cell a=5.475 b=5.475 c=5.552 alpha=99.47 beta=99.47 gamma=120.46
Fractional coordinates of all 12 atoms:
Bi 0.101 0.917 0.009
Bi 0.917 0.101 0.509
Li 0.432 0.585 0.009
Li 0.761 0.255 0.008
Li 0.585 0.432 0.509
Li 0.255 0.761 0.508
O 0.175 0.330 0.251
O 0.330 0.175 0.751
O 0.508 0.008 0.259
O 0.842 0.687 0.267
O 0.008 0.508 0.759
O 0.687 0.842 0.767


Arrangement three

The following is a DFT calculation (GGA-PBEsol) of an optimized crystal structure of Li2BiO3.

Unit cell a=5.611 b=5.611 c=10.202 alpha=94.26 beta=94.26 gamma=119.18
Fractional coordinates of all 24 atoms:
O 0.804 0.974 0.375
O 0.526 0.741 0.627
O 0.589 0.092 0.871
O 0.411 0.908 0.129
O 0.741 0.526 0.127
O 0.092 0.589 0.371
O 0.259 0.474 0.873
O 0.474 0.259 0.373
O 0.026 0.196 0.125
O 0.196 0.026 0.625
O 0.974 0.804 0.875
O 0.908 0.411 0.629
Li 0.000 0.500 0.000
Li 0.092 0.908 0.250
Li 0.894 0.704 0.496
Li 0.500 0.000 0.500
Li 0.106 0.296 0.504
Li 0.908 0.092 0.750
Li 0.296 0.106 0.004
Li 0.704 0.894 0.996
Bi 0.425 0.575 0.250
Bi 0.243 0.757 0.750
Bi 0.575 0.425 0.750
Bi 0.757 0.243 0.250


Tell me which of them is the least stable. Sure, it is arrangement one.


Arrangement one

The following is a DFT calculation (GGA-PBEsol) of an optimized crystal structure of Li2BiO3.

Unit cell a=5.546 b=5.461 c=5.643 alpha=118.94 beta=90.00 gamma=90.00
Fractional coordinates of all 12 atoms:
Bi 0.951 0.760 0.000
Bi 0.451 0.240 0.000
Li 0.471 0.884 0.359
Li 0.971 0.116 0.641
Li 0.971 0.475 0.359
Li 0.471 0.525 0.641
O 0.059 0.134 0.000
O 0.126 0.788 0.338
O 0.126 0.450 0.662
O 0.626 0.212 0.662
O 0.626 0.550 0.338
O 0.559 0.866 0.000


Arrangement two

The following is a DFT calculation (GGA-PBEsol) of an optimized crystal structure of Li2BiO3.

Unit cell a=3.425 b=4.391 c=5.353 alpha=114.21 beta=90.00 gamma=90.00
Fractional coordinates of all 6 atoms:
O 0.500 0.148 0.296
O 0.000 0.500 0.000
O 0.500 0.852 0.704
Li 0.500 0.344 0.689
Li 0.500 0.656 0.311
Bi 0.000 0.000 0.000


Tell me which of them is the least stable. Sure, it is arrangement one.